Tc2PRu PBE optimized geometry; formation energy from the elements = 0.251 eV per atom
1.0
1.466 -2.349 0.000
1.466 2.349 0.000
0.000 0.000 8.211
Tc P Ru
2 1 1
direct
0.000 0.000 0.998 Tc
0.500 0.500 0.725 Tc
0.000 0.000 0.498 P
0.500 0.500 0.279 Ru